Tm4SnTe2Pb: relaxed, PBE.

It has space group P2/m (No. 10), with a = 7.554 Å, b = 4.360 Å, c = 7.561 Å, α = 90.00°, β = 109.40° and γ = 90.00°. The distinct sites, in fractional coordinates, are Tm at (0.243, 0.000, 0.235), Tm at (0.253, 0.500, 0.764), Sn at (0.000, 0.500, 0.000), Te at (0.000, 0.000, 0.500), Te at (0.500, 0.500, 0.500) and Pb at (0.500, 0.000, 0.000).

As for the crystal system: monoclinic. The uncorrected formation energy is -909 meV per atom.